Entry 1:
Compound: SiSeS3
Source: Alexandria
Functional: PBE
Structure: relaxed

Output
The magnetic moment is 0.00 Bohr magnetons per cell. The formation energy (no corrections) is 0.510 eV/atom. The offset from the most stable computed form comes out at 0 meV/atom.

Lattice parameters (Å, degrees): 4.5056 4.5056 4.5056 90.00 90.00 90.00
Space group Pm-3m (No. 221)
One atom of each set of equivalent atoms:
Si: 0.0000 0.0000 0.0000
Se: 0.5000 0.5000 0.5000
S: 0.0000 0.0000 0.5000


Entry 2:
Compound: Si2SeS2
Source: Alexandria
Functional: PBE
Structure: relaxed

Output
The magnetic moment is 0.00 Bohr magnetons per cell. The formation energy (no corrections) is 0.248 eV/atom. The offset from the most stable computed form comes out at 0 meV/atom.

Lattice parameters (Å, degrees): 4.3515 4.3515 9.8491 90.00 90.00 90.00
Space group I4/mmm (No. 139)
One atom of each set of equivalent atoms:
Si: 0.0000 0.5000 0.2500
Se: 0.0000 0.0000 0.0000
S: 0.0000 0.0000 0.3431


Entry 3:
Compound: SiSe2S
Source: Alexandria
Functional: PBE
Structure: relaxed

Output
The magnetic moment is 0.00 Bohr magnetons per cell. The formation energy (no corrections) is 0.173 eV/atom. The offset from the most stable computed form comes out at 0 meV/atom.

Lattice parameters (Å, degrees): 3.6821 3.6821 22.9475 90.00 90.00 120.00
Space group R-3m (No. 166, hexagonal axes)
One atom of each set of equivalent atoms:
Si: 0.0000 0.0000 0.0000
Se: 0.0000 0.0000 0.3959
S: 0.0000 0.0000 0.5000


Entry 4:
Compound: SiSe3S
Source: Alexandria
Functional: PBE
Structure: relaxed

Output
The magnetic moment is 0.00 Bohr magnetons per cell. The formation energy (no corrections) is 0.710 eV/atom. The offset from the most stable computed form comes out at 0 meV/atom.

Lattice parameters (Å, degrees): 4.7970 4.7970 4.7970 90.00 90.00 90.00
Space group Pm-3m (No. 221)
One atom of each set of equivalent atoms:
Si: 0.0000 0.0000 0.0000
Se: 0.0000 0.0000 0.5000
S: 0.5000 0.5000 0.5000


Entry 5:
Compound: SiSe2S
Source: Alexandria
Functional: PBE
Structure: relaxed

Output
The magnetic moment is 0.00 Bohr magnetons per cell. The formation energy (no corrections) is 0.327 eV/atom. The offset from the most stable computed form comes out at 154 meV/atom.

Lattice parameters (Å, degrees): 6.6898 6.6898 8.2365 90.00 90.00 90.00
Space group I-42d (No. 122)
One atom of each set of equivalent atoms:
Si: 0.0000 0.0000 0.0000
Se: 0.2132 0.2500 0.1250
S: 0.0000 0.0000 0.5000


Entry 6:
Compound: Si2SeS
Source: Alexandria
Functional: PBE
Structure: relaxed

Output
The magnetic moment is 0.00 Bohr magnetons per cell. The formation energy (no corrections) is 0.270 eV/atom. The offset from the most stable computed form comes out at 0 meV/atom.

Lattice parameters (Å, degrees): 6.7252 6.7252 7.0044 90.00 90.00 90.00
Space group I-42d (No. 122)
One atom of each set of equivalent atoms:
Si: 0.2341 0.2500 0.1250
Se: 0.0000 0.0000 0.5000
S: 0.0000 0.0000 0.0000


Entry 7:
Compound: Si2SeS
Source: Alexandria
Functional: PBE
Structure: relaxed

Output
The magnetic moment is 0.00 Bohr magnetons per cell. The formation energy (no corrections) is 0.472 eV/atom. The offset from the most stable computed form comes out at 202 meV/atom.

Lattice parameters (Å, degrees): 6.4915 6.4915 6.4915 90.00 90.00 90.00
Space group Fm-3m (No. 225)
One atom of each set of equivalent atoms:
Si: 0.2500 0.2500 0.2500
Se: 0.0000 0.0000 0.0000
S: 0.0000 0.0000 0.5000


Entry 8:
Compound: SiSeS2
Source: Alexandria
Functional: PBE
Structure: relaxed

Output
The magnetic moment is 0.00 Bohr magnetons per cell. The formation energy (no corrections) is 0.671 eV/atom. The offset from the most stable computed form comes out at 655 meV/atom.

Lattice parameters (Å, degrees): 6.4668 6.4668 6.4668 90.00 90.00 90.00
Space group Fm-3m (No. 225)
One atom of each set of equivalent atoms:
Si: 0.0000 0.0000 0.0000
Se: 0.0000 0.0000 0.5000
S: 0.2500 0.2500 0.2500


Entry 9:
Compound: SiSe2S
Source: Alexandria
Functional: PBE
Structure: relaxed

Output
The magnetic moment is 0.00 Bohr magnetons per cell. The formation energy (no corrections) is 0.645 eV/atom. The offset from the most stable computed form comes out at 472 meV/atom.

Lattice parameters (Å, degrees): 6.6018 6.6018 6.6018 90.00 90.00 90.00
Space group Fm-3m (No. 225)
One atom of each set of equivalent atoms:
Si: 0.0000 0.0000 0.0000
Se: 0.2500 0.2500 0.2500
S: 0.0000 0.0000 0.5000


Entry 10:
Compound: Si2Se4S
Source: Alexandria
Functional: PBE
Structure: relaxed

Output
The magnetic moment is 0.00 Bohr magnetons per cell. The formation energy (no corrections) is 0.262 eV/atom.

Lattice parameters (Å, degrees): 5.0102 5.0102 16.2227 90.00 90.00 90.00
Space group I4/mmm (No. 139)
One atom of each set of equivalent atoms:
Si: 0.0000 0.0000 0.0751
Se: 0.0000 0.0000 0.2056
Se: 0.0000 0.5000 0.0000
S: 0.0000 0.0000 0.5000


Entry 11:
Compound: SiSeS2
Source: Alexandria
Functional: PBE
Structure: relaxed

Output
The magnetic moment is 0.00 Bohr magnetons per cell. The formation energy (no corrections) is 0.016 eV/atom. The offset from the most stable computed form comes out at 0 meV/atom.

Lattice parameters (Å, degrees): 3.4725 3.4725 22.5763 90.00 90.00 120.00
Space group R-3m (No. 166, hexagonal axes)
One atom of each set of equivalent atoms:
Si: 0.0000 0.0000 0.0000
Se: 0.0000 0.0000 0.5000
S: 0.0000 0.0000 0.3913


Entry 12:
Compound: Sm4SiSe2S
Source: Alexandria
Functional: PBE
Structure: relaxed

Output
The magnetic moment is 0.00 Bohr magnetons per cell. The formation energy (no corrections) is -1.659 eV/atom.

Lattice parameters (Å, degrees): 7.1462 4.1403 7.2764 90.00 109.32 90.00
Space group P2/m (No. 10)
One atom of each set of equivalent atoms:
Sm: 0.2436 0.0000 0.2356
Sm: 0.2532 0.5000 0.7675
Si: 0.0000 0.5000 0.0000
Se: 0.0000 0.0000 0.5000
Se: 0.5000 0.5000 0.5000
S: 0.5000 0.0000 0.0000


| no. | energy (eV/atom) |
| --- | --- |
| 1 | -3.748 |
| 2 | -4.269 |
| 3 | -3.957 |
| 4 | -3.291 |
| 5 | -3.803 |
| 6 | -4.345 |
| 7 | -4.143 |
| 8 | -3.620 |
| 9 | -3.485 |
| 10 | -3.868 |
| 11 | -4.274 |
| 12 | -6.084 |